1.
This record from the Alexandria database describes an optimized crystal structure of NbAuSe2. The functional is PBE-GGA.

a = 3.461 Å, b = 3.461 Å, c = 25.091 Å
α = 90.00°, β = 90.00°, γ = 120.00°
Atoms (fractional coordinates):
Nb1 0.000 0.000 0.000
Nb2 0.333 0.667 0.667
Nb3 0.667 0.333 0.333
Au1 0.000 0.000 0.500
Au2 0.333 0.667 0.167
Au3 0.667 0.333 0.833
Se1 0.000 0.000 0.401
Se2 0.000 0.000 0.599
Se3 0.333 0.667 0.067
Se4 0.333 0.667 0.266
Se5 0.667 0.333 0.734
Se6 0.667 0.333 0.933

Summary:
* calculated total energy: -0.40888 Ry/atom
* energy relative to the elements, uncorrected: -484 meV/atom



2.
This record from the Alexandria database describes an optimized crystal structure of NbAuSe3. The functional is PBE-GGA.

a = 10.367 Å, b = 3.717 Å, c = 12.774 Å
α = 90.00°, β = 90.00°, γ = 90.00°
Atoms (fractional coordinates):
Nb1 0.116 0.250 0.126
Nb2 0.384 0.750 0.626
Nb3 0.616 0.250 0.374
Nb4 0.884 0.750 0.874
Au1 0.239 0.750 0.276
Au2 0.261 0.250 0.776
Au3 0.739 0.750 0.224
Au4 0.761 0.250 0.724
Se1 0.068 0.250 0.316
Se2 0.071 0.250 0.907
Se3 0.217 0.250 0.578
Se4 0.283 0.750 0.078
Se5 0.429 0.750 0.407
Se6 0.432 0.750 0.816
Se7 0.568 0.250 0.184
Se8 0.571 0.250 0.593
Se9 0.717 0.250 0.922
Se10 0.783 0.750 0.422
Se11 0.929 0.750 0.093
Se12 0.932 0.750 0.684

Summary:
* calculated total energy: -0.38524 Ry/atom
* energy relative to the elements, uncorrected: -481 meV/atom



3.
This record from the Alexandria database describes an optimized crystal structure of NbSiAu2Se. The functional is PBE-GGA.

a = 4.905 Å, b = 4.905 Å, c = 4.879 Å
α = 90.00°, β = 90.00°, γ = 90.00°
Atoms (fractional coordinates):
Nb1 0.000 0.000 0.000
Si1 0.500 0.500 0.000
Au1 0.000 0.500 0.500
Au2 0.500 0.000 0.500
Se1 0.000 0.000 0.500

Summary:
* calculated total energy: -0.30588 Ry/atom
* energy relative to the elements, uncorrected: 945 meV/atom



4.
This record from the Alexandria database describes an optimized crystal structure of NbSnAuSe2. The functional is PBE-GGA.

a = 5.021 Å, b = 5.021 Å, c = 5.225 Å
α = 90.00°, β = 90.00°, γ = 90.00°
Atoms (fractional coordinates):
Nb1 0.000 0.000 0.000
Sn1 0.500 0.500 0.000
Au1 0.500 0.500 0.500
Se1 0.000 0.500 0.500
Se2 0.500 0.000 0.500

Summary:
* calculated total energy: -0.28402 Ry/atom
* energy relative to the elements, uncorrected: 1000 meV/atom